(1)
Computed, not measured: a geometry-optimized LaSbSe2 structure at the PBEsol level of DFT.

Cell lengths 3.905, 3.867, 6.942 Å; angles 90.00, 104.95, 90.00 degrees
Element x y z (fractional)
La: 0.000 0.000 0.000
Sb: 0.000 0.000 0.500
Se: 0.387 0.500 0.768
Se: 0.613 0.500 0.232

Values from the calculation:
The density of states at the Fermi level is 1.361 states/eV/cell. The value obtained for the raw formation energy is -1.10 eV/atom.

---

(2)
Computed, not measured: a geometry-optimized TaMn4Ru structure at the PBEsol level of DFT.

Cell lengths 4.666, 4.666, 4.666 Å; angles 60.00, 60.00, 60.00 degrees
Element x y z (fractional)
Ta: 0.000 0.000 0.000
Mn: 0.374 0.374 0.374
Mn: 0.374 0.374 0.877
Mn: 0.374 0.877 0.374
Mn: 0.877 0.374 0.374
Ru: 0.750 0.750 0.750

Values from the calculation:
The density of states at the Fermi level is 6.094 states/eV/cell. For the formation energy, the calculation gives -10.5 kJ/mol of atoms.

---

(3)
Computed, not measured: a geometry-optimized Cs3TlO3 structure at the PBEsol level of DFT.

Cell lengths 7.336, 7.336, 7.342 Å; angles 96.38, 96.38, 114.31 degrees
Element x y z (fractional)
Cs: 0.197 0.803 0.000
Cs: 0.255 0.745 0.500
Cs: 0.366 0.366 0.156
Cs: 0.634 0.634 0.844
Cs: 0.745 0.255 0.500
Cs: 0.803 0.197 0.000
Tl: 0.181 0.181 0.653
Tl: 0.819 0.819 0.347
O: 0.098 0.098 0.343
O: 0.160 0.448 0.775
O: 0.448 0.160 0.775
O: 0.552 0.840 0.225
O: 0.840 0.552 0.225
O: 0.902 0.902 0.657

Values from the calculation:
The density of states at the Fermi level is 0.000 states/eV/cell. The value obtained for the raw formation energy is -1.10 eV/atom.

---

(4)
Computed, not measured: a geometry-optimized ReRuSeBr2 structure at the PBEsol level of DFT.

Cell lengths 5.095, 5.095, 4.643 Å; angles 90.00, 90.00, 90.00 degrees
Element x y z (fractional)
Re: 0.000 0.000 0.000
Ru: 0.500 0.500 0.500
Se: 0.000 0.000 0.500
Br: 0.000 0.500 0.000
Br: 0.500 0.000 0.000

Values from the calculation:
The density of states at the Fermi level is 6.888 states/eV/cell. The value obtained for the raw formation energy is 1.39 eV/atom.